# Cs3AlPb

A relaxed Cs3AlPb crystal (PBE-GGA, the Alexandria database).

The structure in CIF format:
```
data_Cs3AlPb
_cell_length_a 7.508
_cell_length_b 7.508
_cell_length_c 7.508
_cell_angle_alpha 90.00
_cell_angle_beta 90.00
_cell_angle_gamma 90.00
_space_group_name_H-M_alt 'P m -3 m'
_space_group_IT_number 221
_space_group_name_Hall '-P 4 2 3'
loop_
_atom_site_label
_atom_site_type_symbol
_atom_site_fract_x
_atom_site_fract_y
_atom_site_fract_z
_atom_site_occupancy
Cs1 Cs 0.000 0.000 0.500 1
Al1 Al 0.500 0.500 0.500 1
Pb1 Pb 0.000 0.000 0.000 1
```

Output
Energy of formation from the pure elements (eV per atom): 0.5244
Crystal system: cubic
Theoretical density (g/cm³): 2.483
M_tot (μB/cell): 0.01
N(E_F) (states/eV per cell): 6.9